4
Lattice="3.6131 0.0000 0.0000 0.0000 3.6131 0.0000 0.0000 0.0000 8.2298" Properties=species:S:1:pos:R:3 comment="BaTaTe2 | Alexandria | PBE-GGA | optimized geometry" polymorph_energy_mev_per_atom=129 final_energy_ev_per_atom=-5.38 formation_energy_uncorrected_ev_per_fu=-1.47 crystal_system=tetragonal pbc="T T T"
Ba 0.0000 0.0000 0.0000
Ta 0.0000 0.0000 4.1149
Te 1.8065 1.8065 2.4926
Te 1.8065 1.8065 5.7372